A relaxed LiDyTiOs crystal, computed with PBE.

Cell: 4.6456 4.6456 4.6456 Å, 60.00 60.00 60.00°
Fractional positions:
Ti 0.2500 0.2500 0.2500
Os 0.0000 0.0000 0.0000
Li 0.5000 0.5000 0.5000
Dy 0.7500 0.7500 0.7500

Energy of formation ... -0.15 eV/atom
Theoretical density ... 9.5 g/cm3
M_tot ... 0.000 μB/atom
D(E_F) ... 3.7 states/eV per cell